i.
Cu4Ag PBE-GGA relaxed; theoretical density = 9.20 Mg/m³
1.0
4.402 -1.349 0.000
4.402 1.349 0.000
-1.956 0.000 11.000
Cu Ag
8 2
Direct
0.551 0.551 0.864 Cu
0.449 0.449 0.136 Cu
0.755 0.755 0.238 Cu
0.342 0.342 0.446 Cu
0.658 0.658 0.554 Cu
0.245 0.245 0.762 Cu
0.848 0.848 0.950 Cu
0.152 0.152 0.050 Cu
0.049 0.049 0.345 Ag
0.951 0.951 0.655 Ag

ii.
Cu4Ag PBE-GGA relaxed; theoretical density = 9.25 Mg/m³
1.0
-7.580 -4.473 2.246
-6.542 -2.917 5.585
6.023 5.251 -4.318
Cu Ag
4 1
Direct
0.888 0.888 0.000 Cu
0.704 0.704 0.000 Cu
0.112 0.112 0.000 Cu
0.296 0.296 0.000 Cu
0.500 0.500 0.000 Ag

Least stable structure: i

i.
RbGeAu PBE-GGA relaxed; theoretical density = 6.29 Mg/m³
1.0
0.521 -4.084 -3.006
2.117 -4.260 1.832
-2.873 -4.135 0.797
Ge Au Rb
1 1 1
Direct
0.250 0.250 0.250 Ge
0.000 0.000 0.000 Au
0.750 0.750 0.750 Rb

ii.
RbGeAu PBE-GGA relaxed; theoretical density = 5.53 Mg/m³
1.0
0.000 3.763 3.763
3.763 0.000 3.763
3.763 3.763 0.000
Rb Au Ge
1 1 1
Direct
0.000 0.000 0.000 Rb
0.250 0.250 0.250 Au
0.750 0.750 0.750 Ge

Least stable structure: ii

i.
Cu7Ag PBE-GGA relaxed; theoretical density = 9.14 Mg/m³
1.0
2.647 0.000 0.000
0.000 2.647 0.000
0.000 0.000 14.333
Cu Ag
7 1
Direct
0.000 0.000 0.381 Cu
0.000 0.000 0.858 Cu
0.500 0.500 0.500 Cu
0.000 0.000 0.619 Cu
0.500 0.500 0.261 Cu
0.500 0.500 0.739 Cu
0.000 0.000 0.142 Cu
0.500 0.500 0.000 Ag

ii.
Cu7Ag PBE-GGA relaxed; theoretical density = 9.13 Mg/m³
1.0
4.529 -2.619 0.000
4.529 2.619 0.000
-1.516 0.000 4.239
Cu Ag
7 1
Direct
0.740 0.260 0.000 Cu
0.260 0.740 0.000 Cu
0.500 0.500 0.500 Cu
0.500 0.000 0.500 Cu
0.000 0.500 0.500 Cu
0.745 0.745 0.988 Cu
0.255 0.255 0.012 Cu
0.000 0.000 0.500 Ag

Least stable structure: ii

i.
GdErGe2 PBE-GGA relaxed; theoretical density = 8.59 Mg/m³
1.0
-3.114 1.865 1.525
-3.224 -4.735 -0.793
2.012 -2.589 7.276
Gd Er Ge
2 2 4
Direct
0.500 0.368 0.180 Gd
0.500 0.632 0.680 Gd
0.000 0.868 0.320 Er
0.000 0.132 0.820 Er
0.000 0.606 0.958 Ge
0.500 0.894 0.042 Ge
0.500 0.106 0.542 Ge
0.000 0.394 0.458 Ge

ii.
GdErGe2 PBE-GGA relaxed; theoretical density = 7.14 Mg/m³
1.0
-0.153 1.908 -2.622
-1.122 5.108 3.783
4.468 3.887 2.568
Er Ge Gd
1 2 1
Direct
0.000 0.850 0.850 Er
0.000 0.608 0.608 Ge
0.000 0.394 0.394 Ge
0.000 0.149 0.149 Gd

Least stable structure: ii